Compound: CsLi3Pt
Source: Alexandria via LeMat-Bulk
Functional: GGA-PBEsol
Structure: relaxed

a b c (Å): 5.052 5.052 5.052
angles (deg): 90.00 90.00 90.00
Positions (direct):
Cs (0.500, 0.500, 0.500)
Pt (0.000, 0.000, 0.000)
Li (0.000, 0.500, 0.000)
Li (0.000, 0.000, 0.500)
Li (0.500, 0.000, 0.000)

The value obtained for the density of states at the Fermi level is 2.6 states/eV per cell. The space-group type is No. 221. The value obtained for the formation energy from the elements is -0.0366 eV per atom. The total energy comes out at -2.80 eV per atom.

***

Compound: Cs3RbLi
Source: Alexandria via LeMat-Bulk
Functional: GGA-PBEsol
Structure: relaxed

a b c (Å): 8.321 8.321 8.321
angles (deg): 90.00 90.00 90.00
Positions (direct):
Cs (0.000, 0.500, 0.000)
Cs (0.000, 0.000, 0.500)
Cs (0.500, 0.000, 0.000)
Rb (0.000, 0.000, 0.000)
Li (0.500, 0.500, 0.500)

The value obtained for the density of states at the Fermi level is 4.8 states/eV per cell. The space-group type is No. 221. The value obtained for the formation energy from the elements is 0.3662 eV per atom. The total energy comes out at -0.80 eV per atom.

***

Compound: CsRb2Li2
Source: Alexandria via LeMat-Bulk
Functional: GGA-PBEsol
Structure: relaxed

a b c (Å): 6.210 6.210 9.269
angles (deg): 109.57 109.57 90.00
Positions (direct):
Cs (0.000, 0.000, 0.000)
Rb (0.250, 0.750, 0.500)
Rb (0.750, 0.250, 0.500)
Li (0.410, 0.410, 0.820)
Li (0.590, 0.590, 0.180)

The value obtained for the density of states at the Fermi level is 3.5 states/eV per cell. The space-group type is No. 139. The value obtained for the formation energy from the elements is 0.1716 eV per atom. The total energy comes out at -1.21 eV per atom.

***

no.,size of the total moment (μB/cell)
1,0.0
2,0.0
3,0.0